10
Lattice="4.8190 -2.6662 0.0000 4.8190 2.6662 0.0000 -1.4885 0.0000 7.3898" Properties=species:S:1:pos:R:3 comment="Cd2GePt2 GGA-PBE relaxed" space_group=C2/c dft_energy_ev_per_atom=-4.072 magnetic_moment_mub_per_fu=0.00 formation_energy_mev_per_atom=-366 pbc="T T T"
Cd 1.2624 0.6599 1.1524
Cd 0.5181 -0.6599 4.8473
Cd 7.6315 0.6599 2.5425
Cd 6.8872 -0.6599 6.2374
Ge 4.4469 0.8545 1.8475
Ge 3.7026 -0.8545 5.5424
Pt 2.8533 0.7001 3.7541
Pt 4.5520 0.7001 7.3306
Pt 3.5976 -0.7001 0.0592
Pt 5.2962 -0.7001 3.6357

4
Lattice="3.5171 -2.0009 0.0000 3.5171 2.0009 0.0000 -2.1531 0.0000 6.5498" Properties=species:S:1:pos:R:3 comment="CdGe2Pt GGA-PBE relaxed" space_group=Cm dft_energy_ev_per_atom=-4.196 magnetic_moment_mub_per_fu=0.00 formation_energy_mev_per_atom=-149 pbc="T T T"
Cd 0.0000 0.0000 0.0000
Ge 2.2927 0.0000 1.8442
Ge 4.6686 0.0000 3.9203
Pt -0.0385 0.0000 2.8693

4
Lattice="2.0616 1.1903 5.0017 -2.0616 1.1903 5.0017 0.0000 -2.3806 5.0017" Properties=species:S:1:pos:R:3 comment="CdGePt2 GGA-PBE relaxed" space_group=R3m dft_energy_ev_per_atom=-4.687 magnetic_moment_mub_per_fu=0.00 formation_energy_mev_per_atom=-284 pbc="T T T"
Cd 0.0000 0.0000 0.0000
Ge 0.0000 0.0000 2.7323
Pt 0.0000 0.0000 8.5170
Pt 0.0000 0.0000 11.6660

10
Lattice="8.0838 0.0000 0.0000 0.0000 8.0838 0.0000 0.0000 0.0000 2.9378" Properties=species:S:1:pos:R:3 comment="Cd2GePt2 GGA-PBE relaxed" space_group=P4/mbm dft_energy_ev_per_atom=-3.751 magnetic_moment_mub_per_fu=0.00 formation_energy_mev_per_atom=-45 pbc="T T T"
Cd 1.0885 2.9534 0.0000
Cd 2.9534 6.9953 0.0000
Cd 5.1304 1.0885 0.0000
Cd 6.9953 5.1304 0.0000
Ge 0.0000 0.0000 0.0000
Ge 4.0419 4.0419 0.0000
Pt 1.3117 5.3536 1.4689
Pt 2.7302 1.3117 1.4689
Pt 5.3536 6.7721 1.4689
Pt 6.7721 2.7302 1.4689